Entry a
Density functional theory data (PBE) for crystalline La7SmCd4 at its relaxed geometry.

Cell lengths 6.5110, 8.9792, 8.9220 Å; angles 78.29, 88.26, 48.83 degrees
Positions (direct):
La1 0.9595 0.7087 0.3797
La2 0.2297 0.4980 0.0714
La3 0.6464 0.1874 0.4170
La4 0.3536 0.8126 0.5830
La5 0.5000 0.0000 0.0000
La6 0.7703 0.5020 0.9286
La7 0.0405 0.2913 0.6203
Cd1 0.5556 0.6181 0.2675
Cd2 0.8582 0.8152 0.7231
Cd3 0.4444 0.3819 0.7325
Cd4 0.1418 0.1848 0.2769
Sm1 0.0000 0.0000 0.0000

Summary:
- size of the total moment (Bohr magnetons per cell) = 0.0

***

Entry b
Density functional theory data (PBE) for crystalline La7SmCd4 at its relaxed geometry.

Cell lengths 6.0067, 9.3460, 8.2184 Å; angles 70.79, 68.57, 71.26 degrees
Positions (direct):
La1 0.9335 0.4052 0.7278
La2 0.5000 0.0000 0.0000
La3 0.7372 0.3055 0.2202
La4 0.7937 0.8912 0.5215
La5 0.2628 0.6945 0.7798
La6 0.2063 0.1088 0.4785
La7 0.0665 0.5948 0.2722
Cd1 0.3177 0.3462 0.0184
Cd2 0.4595 0.7148 0.3663
Cd3 0.5405 0.2852 0.6337
Cd4 0.6823 0.6538 0.9816
Sm1 0.0000 0.0000 0.0000

Summary:
- size of the total moment (Bohr magnetons per cell) = 0.2

***

Least stable: entry b

***

Entry a
Density functional theory data (PBE) for crystalline La3SmCd at its relaxed geometry.

Cell lengths 3.8284, 8.9904, 10.2590 Å; angles 102.90, 100.74, 89.98 degrees
Positions (direct):
La1 0.4120 0.8293 0.0797
La2 0.2122 0.2756 0.6813
La3 0.2261 0.7396 0.7113
La4 0.6045 0.4851 0.4642
La5 0.6183 0.9490 0.4940
La6 0.4185 0.3953 0.0957
Cd1 0.0197 0.6856 0.2961
Cd2 0.8107 0.5390 0.8792
Sm1 0.8207 0.0761 0.8999
Sm2 0.0098 0.1485 0.2755

Summary:
- size of the total moment (Bohr magnetons per cell) = 0.0

***

Entry b
Density functional theory data (PBE) for crystalline La3SmCd at its relaxed geometry.

Cell lengths 6.3405, 6.3405, 6.8509 Å; angles 122.70, 122.70, 93.13 degrees
Positions (direct):
Cd1 0.8994 0.8994 0.5646
La1 0.8994 0.8994 0.0216
La2 0.2005 0.5983 0.3009
La3 0.5983 0.2005 0.3009
Sm1 0.3994 0.3994 0.8060

Summary:
- size of the total moment (Bohr magnetons per cell) = 0.0

***

Least stable: entry b

***

Entry a
Density functional theory data (PBE) for crystalline La2Sm3Cd2 at its relaxed geometry.

Cell lengths 3.6809, 3.6486, 16.5106 Å; angles 90.00, 96.40, 90.00 degrees
Positions (direct):
Cd1 0.8621 0.0000 0.7242
Cd2 0.1379 0.0000 0.2758
La1 0.7056 0.5000 0.4111
La2 0.2944 0.5000 0.5889
Sm1 0.4235 0.5000 0.8469
Sm2 0.5765 0.5000 0.1531
Sm3 0.0000 0.0000 0.0000

Summary:
- size of the total moment (Bohr magnetons per cell) = 0.0

***

Entry b
Density functional theory data (PBE) for crystalline La2Sm3Cd2 at its relaxed geometry.

Cell lengths 5.5811, 5.5837, 8.8348 Å; angles 108.39, 90.00, 119.98 degrees
Positions (direct):
La1 0.9251 0.8501 0.2747
La2 0.0749 0.1499 0.7253
Sm1 0.6568 0.3136 0.4705
Sm2 0.3432 0.6864 0.5295
Sm3 0.5000 0.0000 0.0000
Cd1 0.7877 0.5755 0.8633
Cd2 0.2123 0.4245 0.1367

Summary:
- size of the total moment (Bohr magnetons per cell) = 0.0

***

Least stable: entry a

***

Entry a
Density functional theory data (PBE) for crystalline La5Sm2Cd at its relaxed geometry.

Cell lengths 7.3562, 7.3570, 6.8639 Å; angles 105.47, 105.47, 120.14 degrees
Positions (direct):
La1 0.3317 0.2224 0.0000
La2 0.2351 0.3214 0.5010
La3 0.7992 0.2148 0.0002
La4 0.7340 0.8202 0.4988
La5 0.3414 0.7572 0.0000
Cd1 0.8210 0.7354 0.9999
Sm1 0.2151 0.8107 0.4696
Sm2 0.7455 0.3409 0.5306

Summary:
- size of the total moment (Bohr magnetons per cell) = 0.0

***

Entry b
Density functional theory data (PBE) for crystalline La5Sm2Cd at its relaxed geometry.

Cell lengths 7.2743, 7.2741, 7.2336 Å; angles 120.18, 120.18, 90.00 degrees
Positions (direct):
Sm1 0.2221 0.7233 0.4441
Sm2 0.7221 0.2214 0.4442
La1 0.7230 0.2226 0.9454
La2 0.2216 0.7216 0.9431
La3 0.7215 0.7217 0.9431
La4 0.2224 0.2226 0.9454
La5 0.7220 0.7220 0.4440
Cd1 0.2224 0.2219 0.4447

Summary:
- size of the total moment (Bohr magnetons per cell) = 0.0

***

Least stable: entry b

***

Entry a
Density functional theory data (PBE) for crystalline LaSmThCd at its relaxed geometry.

Cell lengths 3.6612, 3.6612, 9.2152 Å; angles 90.00, 90.00, 90.00 degrees
Positions (direct):
Cd1 0.5000 0.5000 0.3302
Th1 0.5000 0.5000 0.8160
La1 0.0000 0.0000 0.0829
Sm1 0.0000 0.0000 0.5555

Summary:
- size of the total moment (Bohr magnetons per cell) = 0.0

***

Entry b
Density functional theory data (PBE) for crystalline LaSmThCd at its relaxed geometry.

Cell lengths 5.6010, 5.6010, 5.6010 Å; angles 60.00, 60.00, 60.00 degrees
Positions (direct):
La1 0.7500 0.7500 0.7500
Th1 0.5000 0.5000 0.5000
Cd1 0.0000 0.0000 0.0000
Sm1 0.2500 0.2500 0.2500

Summary:
- size of the total moment (Bohr magnetons per cell) = 0.4

***

Least stable: entry b

***

Entry a
Density functional theory data (PBE) for crystalline LaSmTmCd at its relaxed geometry.

Cell lengths 3.6636, 3.6636, 9.1056 Å; angles 90.00, 90.00, 90.00 degrees
Positions (direct):
Tm1 0.5000 0.5000 0.3553
Cd1 0.0000 0.0000 0.5608
La1 0.0000 0.0000 0.0784
Sm1 0.5000 0.5000 0.7901

Summary:
- size of the total moment (Bohr magnetons per cell) = 0.0

***

Entry b
Density functional theory data (PBE) for crystalline LaSmTmCd at its relaxed geometry.

Cell lengths 5.5627, 5.5627, 5.5627 Å; angles 60.00, 60.00, 60.00 degrees
Positions (direct):
Sm1 0.5000 0.5000 0.5000
Tm1 0.7500 0.7500 0.7500
La1 0.0000 0.0000 0.0000
Cd1 0.2500 0.2500 0.2500

Summary:
- size of the total moment (Bohr magnetons per cell) = 0.0

***

Least stable: entry b